! WAuSeBr2 (PBE, relaxed); values from VASP
&SYSTEM
  ibrav = 0, nat = 5, ntyp = 4
/
ATOMIC_SPECIES
Se 78.96 Se.upf
Au 196.97 Au.upf
Br 79.90 Br.upf
W 183.84 W.upf
CELL_PARAMETERS angstrom
5.164 0.000 0.000
0.000 5.164 0.000
0.000 0.000 4.860
ATOMIC_POSITIONS crystal
Se 0.000 0.000 0.500
Au 0.500 0.500 0.500
Br 0.000 0.500 0.000
Br 0.500 0.000 0.000
W 0.000 0.000 0.000
! D(E_F), states/eV/cell: 5.06
! Uncorrected energy, eV/atom: -4.069
! Volume, Å³ per cell: 130
! Offset from the most stable computed form, meV per atom: 0

! WAuSe2Br (PBE, relaxed); values from VASP
&SYSTEM
  ibrav = 0, nat = 5, ntyp = 4
/
ATOMIC_SPECIES
Se 78.96 Se.upf
Au 196.97 Au.upf
Br 79.90 Br.upf
W 183.84 W.upf
CELL_PARAMETERS angstrom
-1.009 1.556 4.516
3.327 -3.082 1.806
3.680 3.705 -0.455
ATOMIC_POSITIONS crystal
Se 0.000 0.500 0.000
Se 0.500 0.000 0.000
Au 0.500 0.500 0.500
Br 0.000 0.000 0.500
W 0.000 0.000 0.000
! D(E_F), states/eV/cell: 4.98
! Uncorrected energy, eV/atom: -4.468
! Volume, Å³ per cell: 125
! Offset from the most stable computed form, meV per atom: 0

! WAuSeBr2 (PBE, relaxed); values from VASP
&SYSTEM
  ibrav = 0, nat = 5, ntyp = 4
/
ATOMIC_SPECIES
Se 78.96 Se.upf
Au 196.97 Au.upf
Br 79.90 Br.upf
W 183.84 W.upf
CELL_PARAMETERS angstrom
5.087 0.000 0.000
0.000 5.087 0.000
0.000 0.000 5.368
ATOMIC_POSITIONS crystal
Se 0.000 0.000 0.500
Au 0.000 0.000 0.000
Br 0.000 0.500 0.000
Br 0.500 0.000 0.000
W 0.500 0.500 0.500
! D(E_F), states/eV/cell: 5.58
! Uncorrected energy, eV/atom: -3.299
! Volume, Å³ per cell: 139
! Offset from the most stable computed form, meV per atom: 770

! YAuSe2Br (PBE, relaxed); values from VASP
&SYSTEM
  ibrav = 0, nat = 5, ntyp = 4
/
ATOMIC_SPECIES
Y 88.91 Y.upf
Au 196.97 Au.upf
Se 78.96 Se.upf
Br 79.90 Br.upf
CELL_PARAMETERS angstrom
5.171 0.000 0.000
0.000 5.171 0.000
0.000 0.000 5.032
ATOMIC_POSITIONS crystal
Y 0.500 0.500 0.500
Au 0.000 0.000 0.000
Se 0.000 0.500 0.000
Se 0.500 0.000 0.000
Br 0.000 0.000 0.500
! D(E_F), states/eV/cell: 1.18
! Uncorrected energy, eV/atom: -3.974
! Volume, Å³ per cell: 135

! YAuSe2Br (PBE, relaxed); values from VASP
&SYSTEM
  ibrav = 0, nat = 5, ntyp = 4
/
ATOMIC_SPECIES
Y 88.91 Y.upf
Au 196.97 Au.upf
Se 78.96 Se.upf
Br 79.90 Br.upf
CELL_PARAMETERS angstrom
5.522 0.000 0.000
0.000 5.522 0.000
0.000 0.000 5.436
ATOMIC_POSITIONS crystal
Y 0.000 0.000 0.000
Au 0.500 0.500 0.500
Se 0.000 0.500 0.000
Se 0.500 0.000 0.000
Br 0.000 0.000 0.500
! D(E_F), states/eV/cell: 6.91
! Uncorrected energy, eV/atom: -3.975
! Volume, Å³ per cell: 166

! ZnAuSe2Br (PBE, relaxed); values from VASP
&SYSTEM
  ibrav = 0, nat = 5, ntyp = 4
/
ATOMIC_SPECIES
Zn 65.41 Zn.upf
Au 196.97 Au.upf
Se 78.96 Se.upf
Br 79.90 Br.upf
CELL_PARAMETERS angstrom
4.921 0.000 0.000
0.000 4.921 0.000
0.000 0.000 5.195
ATOMIC_POSITIONS crystal
Zn 0.000 0.000 0.000
Au 0.500 0.500 0.500
Se 0.000 0.500 0.000
Se 0.500 0.000 0.000
Br 0.000 0.000 0.500
! D(E_F), states/eV/cell: 6.69
! Uncorrected energy, eV/atom: -2.128
! Volume, Å³ per cell: 126
! Offset from the most stable computed form, meV per atom: 10

! ZnAuSe2Br (PBE, relaxed); values from VASP
&SYSTEM
  ibrav = 0, nat = 5, ntyp = 4
/
ATOMIC_SPECIES
Zn 65.41 Zn.upf
Au 196.97 Au.upf
Se 78.96 Se.upf
Br 79.90 Br.upf
CELL_PARAMETERS angstrom
-2.324 0.039 -4.594
-0.490 -5.121 0.205
-4.618 0.536 2.341
ATOMIC_POSITIONS crystal
Zn 0.500 0.500 0.500
Au 0.000 0.000 0.000
Se 0.000 0.500 0.000
Se 0.500 0.000 0.000
Br 0.000 0.000 0.500
! D(E_F), states/eV/cell: 3.64
! Uncorrected energy, eV/atom: -2.139
! Volume, Å³ per cell: 138
! Offset from the most stable computed form, meV per atom: 0

! ZnAuSeBr2 (PBE, relaxed); values from VASP
&SYSTEM
  ibrav = 0, nat = 5, ntyp = 4
/
ATOMIC_SPECIES
Zn 65.41 Zn.upf
Au 196.97 Au.upf
Se 78.96 Se.upf
Br 79.90 Br.upf
CELL_PARAMETERS angstrom
-1.547 -3.053 -3.776
4.280 -2.730 0.453
-2.291 -3.030 3.389
ATOMIC_POSITIONS crystal
Zn 0.000 0.000 0.000
Au 0.500 0.500 0.500
Se 0.000 0.000 0.500
Br 0.000 0.500 0.000
Br 0.500 0.000 0.000
! D(E_F), states/eV/cell: 4.41
! Uncorrected energy, eV/atom: -1.971
! Volume, Å³ per cell: 132
! Offset from the most stable computed form, meV per atom: 0

! ZnAuSeBr2 (PBE, relaxed); values from VASP
&SYSTEM
  ibrav = 0, nat = 5, ntyp = 4
/
ATOMIC_SPECIES
Zn 65.41 Zn.upf
Au 196.97 Au.upf
Se 78.96 Se.upf
Br 79.90 Br.upf
CELL_PARAMETERS angstrom
5.194 0.000 0.000
0.000 5.194 0.000
0.000 0.000 5.321
ATOMIC_POSITIONS crystal
Zn 0.500 0.500 0.500
Au 0.000 0.000 0.000
Se 0.000 0.000 0.500
Br 0.000 0.500 0.000
Br 0.500 0.000 0.000
! D(E_F), states/eV/cell: 3.94
! Uncorrected energy, eV/atom: -1.959
! Volume, Å³ per cell: 144
! Offset from the most stable computed form, meV per atom: 12

! ZnAuSeBr2 (PBE, relaxed); values from VASP
&SYSTEM
  ibrav = 0, nat = 5, ntyp = 4
/
ATOMIC_SPECIES
Zn 65.41 Zn.upf
Au 196.97 Au.upf
Se 78.96 Se.upf
Br 79.90 Br.upf
CELL_PARAMETERS angstrom
-5.498 0.715 0.148
-0.450 -2.645 -3.957
-0.510 -4.565 3.109
ATOMIC_POSITIONS crystal
Zn 0.000 0.500 0.000
Au 0.500 0.500 0.500
Se 0.000 0.000 0.000
Br 0.000 0.000 0.500
Br 0.500 0.000 0.000
! D(E_F), states/eV/cell: 4.05
! Uncorrected energy, eV/atom: -1.838
! Volume, Å³ per cell: 147
! Offset from the most stable computed form, meV per atom: 133

! ZrAuSeBr2 (PBE, relaxed); values from VASP
&SYSTEM
  ibrav = 0, nat = 5, ntyp = 4
/
ATOMIC_SPECIES
Se 78.96 Se.upf
Au 196.97 Au.upf
Br 79.90 Br.upf
Zr 91.22 Zr.upf
CELL_PARAMETERS angstrom
-2.043 1.748 -4.424
-4.735 -1.212 1.708
-0.464 4.770 2.099
ATOMIC_POSITIONS crystal
Se 0.000 0.000 0.500
Au 0.000 0.000 0.000
Br 0.000 0.500 0.000
Br 0.500 0.000 0.000
Zr 0.500 0.500 0.500
! D(E_F), states/eV/cell: 5.85
! Uncorrected energy, eV/atom: -3.351
! Volume, Å³ per cell: 140
! Offset from the most stable computed form, meV per atom: 741

! ZrAuSeBr2 (PBE, relaxed); values from VASP
&SYSTEM
  ibrav = 0, nat = 5, ntyp = 4
/
ATOMIC_SPECIES
Se 78.96 Se.upf
Au 196.97 Au.upf
Br 79.90 Br.upf
Zr 91.22 Zr.upf
CELL_PARAMETERS angstrom
-0.272 3.951 3.551
-5.078 0.851 -1.335
-1.530 -3.390 3.656
ATOMIC_POSITIONS crystal
Se 0.000 0.000 0.500
Au 0.500 0.500 0.500
Br 0.000 0.500 0.000
Br 0.500 0.000 0.000
Zr 0.000 0.000 0.000
! D(E_F), states/eV/cell: 3.26
! Uncorrected energy, eV/atom: -4.092
! Volume, Å³ per cell: 148
! Offset from the most stable computed form, meV per atom: 0

! SiAu2Br (PBE, relaxed); values from VASP
&SYSTEM
  ibrav = 0, nat = 4, ntyp = 3
/
ATOMIC_SPECIES
Au 196.97 Au.upf
Br 79.90 Br.upf
Si 28.09 Si.upf
CELL_PARAMETERS angstrom
7.644 0.156 0.063
6.736 3.616 0.063
6.747 1.770 3.127
ATOMIC_POSITIONS crystal
Au 0.985 0.985 0.985
Au 0.515 0.515 0.515
Br 0.750 0.750 0.750
Si 0.250 0.250 0.250
! D(E_F), states/eV/cell: 1.65
! Uncorrected energy, eV/atom: -3.408
! Volume, Å³ per cell: 82
! Offset from the most stable computed form, meV per atom: 0

! Si3AuBr (PBE, relaxed); values from VASP
&SYSTEM
  ibrav = 0, nat = 5, ntyp = 3
/
ATOMIC_SPECIES
Si 28.09 Si.upf
Au 196.97 Au.upf
Br 79.90 Br.upf
CELL_PARAMETERS angstrom
4.964 0.000 0.000
0.000 4.964 0.000
0.000 0.000 4.964
ATOMIC_POSITIONS crystal
Si 0.000 0.500 0.000
Si 0.000 0.000 0.500
Si 0.500 0.000 0.000
Au 0.000 0.000 0.000
Br 0.500 0.500 0.500
! D(E_F), states/eV/cell: 3.93
! Uncorrected energy, eV/atom: -3.361
! Volume, Å³ per cell: 122
! Offset from the most stable computed form, meV per atom: 0

! SiAuBr (PBE, relaxed); values from VASP
&SYSTEM
  ibrav = 0, nat = 3, ntyp = 3
/
ATOMIC_SPECIES
Au 196.97 Au.upf
Br 79.90 Br.upf
Si 28.09 Si.upf
CELL_PARAMETERS angstrom
3.801 0.000 0.000
-1.901 3.292 0.000
0.000 0.000 5.410
ATOMIC_POSITIONS crystal
Au 0.000 0.000 0.936
Br 0.667 0.333 0.352
Si 0.333 0.667 0.712
! D(E_F), states/eV/cell: 1.44
! Uncorrected energy, eV/atom: -3.373
! Volume, Å³ per cell: 68
! Offset from the most stable computed form, meV per atom: 238

! Si2AuBr (PBE, relaxed); values from VASP
&SYSTEM
  ibrav = 0, nat = 4, ntyp = 3
/
ATOMIC_SPECIES
Au 196.97 Au.upf
Br 79.90 Br.upf
Si 28.09 Si.upf
CELL_PARAMETERS angstrom
-1.114 -4.436 4.759
-2.055 -6.152 1.222
1.811 -5.886 2.375
ATOMIC_POSITIONS crystal
Au 0.250 0.250 0.250
Br 0.750 0.750 0.750
Si 0.969 0.969 0.969
Si 0.531 0.531 0.531
! D(E_F), states/eV/cell: 1.32
! Uncorrected energy, eV/atom: -3.761
! Volume, Å³ per cell: 87
! Offset from the most stable computed form, meV per atom: 194

! SiAuBr2 (PBE, relaxed); values from VASP
&SYSTEM
  ibrav = 0, nat = 4, ntyp = 3
/
ATOMIC_SPECIES
Au 196.97 Au.upf
Br 79.90 Br.upf
Si 28.09 Si.upf
CELL_PARAMETERS angstrom
-6.969 0.960 -4.388
-5.022 -3.961 -5.275
4.415 1.013 6.944
ATOMIC_POSITIONS crystal
Au 0.750 0.250 0.500
Br 0.108 0.108 0.000
Br 0.392 0.392 0.000
Si 0.250 0.750 0.500
! D(E_F), states/eV/cell: 0.97
! Uncorrected energy, eV/atom: -2.919
! Volume, Å³ per cell: 111
! Offset from the most stable computed form, meV per atom: 293

! SiAu2Br (PBE, relaxed); values from VASP
&SYSTEM
  ibrav = 0, nat = 4, ntyp = 3
/
ATOMIC_SPECIES
Au 196.97 Au.upf
Br 79.90 Br.upf
Si 28.09 Si.upf
CELL_PARAMETERS angstrom
3.224 0.000 0.000
0.000 6.159 -0.428
0.000 -0.351 5.876
ATOMIC_POSITIONS crystal
Au 0.000 0.949 0.010
Au 0.500 0.320 0.044
Br 0.000 0.576 0.553
Si 0.500 0.654 0.893
! D(E_F), states/eV/cell: 1.16
! Uncorrected energy, eV/atom: -3.327
! Volume, Å³ per cell: 116
! Offset from the most stable computed form, meV per atom: 81

! Si2AuBr (PBE, relaxed); values from VASP
&SYSTEM
  ibrav = 0, nat = 4, ntyp = 3
/
ATOMIC_SPECIES
Au 196.97 Au.upf
Br 79.90 Br.upf
Si 28.09 Si.upf
CELL_PARAMETERS angstrom
-4.276 -0.533 -1.955
1.088 -3.519 2.962
-2.908 -0.196 3.727
ATOMIC_POSITIONS crystal
Au 0.000 0.500 0.500
Br 0.500 0.500 0.000
Si 0.000 0.000 0.000
Si 0.500 0.000 0.500
! D(E_F), states/eV/cell: 1.70
! Uncorrected energy, eV/atom: -3.579
! Volume, Å³ per cell: 81
! Offset from the most stable computed form, meV per atom: 376

! SiAuBr (PBE, relaxed); values from VASP
&SYSTEM
  ibrav = 0, nat = 3, ntyp = 3
/
ATOMIC_SPECIES
Au 196.97 Au.upf
Br 79.90 Br.upf
Si 28.09 Si.upf
CELL_PARAMETERS angstrom
-1.182 -6.006 -2.510
3.725 -5.215 -1.645
-1.533 4.688 4.410
ATOMIC_POSITIONS crystal
Au 0.087 0.087 0.000
Br 0.364 0.364 0.000
Si 0.549 0.549 0.000
! D(E_F), states/eV/cell: 0.76
! Uncorrected energy, eV/atom: -3.611
! Volume, Å³ per cell: 78
! Offset from the most stable computed form, meV per atom: 0

| no. | ΔE_f (raw) (eV per atom) |
| --- | --- |
| 1 | 0.543 |
| 2 | 0.506 |
| 3 | 1.313 |
| 4 | -0.298 |
| 5 | -0.298 |
| 6 | 0.510 |
| 7 | 0.500 |
| 8 | 0.305 |
| 9 | 0.317 |
| 10 | 0.438 |
| 11 | 0.380 |
| 12 | -0.361 |
| 13 | 0.005 |
| 14 | 0.883 |
| 15 | 0.084 |
| 16 | 0.188 |
| 17 | 0.093 |
| 18 | 0.086 |
| 19 | 0.370 |
| 20 | -0.153 |